Here is crystalline Ca2HgHIr at its relaxed geometry from Alexandria. Energies are from PBE-GGA.

Structure (extended XYZ):
```
5
Lattice="5.096 0.000 0.000 0.000 5.096 0.000 0.000 0.000 3.666" Properties=species:S:1:pos:R:3 pbc="T T T"
H 0.000 0.000 0.000
Ca 0.000 2.548 0.000
Ca 2.548 0.000 0.000
Ir 0.000 0.000 1.833
Hg 2.548 2.548 1.833
```

Values from the calculation:
Electronic total energy: -3.73 eV per atom
ρ: 8.3 g cm⁻³
Total moment: 0.00 μB per formula unit
D(E_F): 0.4123 states/eV per atom